# 1
Entry from Alexandria: a relaxed structure of Hf4Zr3Pt3 (PBE-GGA).

- Formation energy: -461 meV/atom
- VASP energy: -8.8187 eV per atom
- D(E_F): 69.80 states/eV/cell
- Size of the total moment: 0.002 μB/f.u.

Cell lengths 9.513, 9.513, 9.513 Å; angles 90.00, 90.00, 90.00 degrees
Space group I-43d (No. 220)
Unique sites:
Hf 0.097 0.097 0.097 x16
Zr 0.000 0.250 0.375 x12
Pt 0.000 0.250 0.875 x12

***

# 2
Entry from Alexandria: a relaxed structure of Pm2Tl3CrSe6 (PBE-GGA).

- VASP energy: -4.9572 eV per atom
- D(E_F): 0.49 states/eV/cell
- Size of the total moment: 3.005 μB/f.u.

Cell lengths 7.164, 12.386, 8.076 Å; angles 90.00, 107.13, 90.00 degrees
Space group C2/m (No. 12)
Unique sites:
Pm 0.000 0.166 0.000 x4
Tl 0.000 0.000 0.500 x2
Tl 0.000 0.324 0.500 x4
Cr 0.000 0.500 0.000 x2
Se 0.216 0.350 0.197 x8
Se 0.232 0.500 0.793 x4

***

# 3
Entry from Alexandria: a relaxed structure of Tb2PmDy4Th (PBE-GGA).

- Formation energy: 29 meV/atom
- VASP energy: -4.9512 eV per atom
- D(E_F): 10.83 states/eV/cell
- Size of the total moment: 0.000 μB/f.u.

Cell lengths 5.052, 5.065, 10.028 Å; angles 90.00, 90.00, 90.00 degrees
Space group Pmmm (No. 47)
Unique sites:
Tb 0.000 0.000 0.000 x1
Tb 0.500 0.500 0.500 x1
Pm 0.000 0.000 0.500 x1
Dy 0.000 0.500 0.246 x2
Dy 0.500 0.000 0.246 x2
Th 0.500 0.500 0.000 x1